# 1
Computed, not measured: an optimized crystal structure of La8MgGe3I4 at the PBE level of DFT.

## Properties
uncorrected formation energy = -0.8950 eV per atom
mass density = 5.72 g/cm3
raw total energy = -4.7117 eV per atom
space-group type = R-3m, No. 166
total moment = 0.0 μB per formula unit

Lattice parameters (Å, degrees): 9.272 9.272 9.272 58.16 58.16 58.16
Fractional coordinates of all 16 atoms:
La (0.223, 0.748, 0.748)
La (0.234, 0.234, 0.234)
La (0.252, 0.252, 0.777)
La (0.252, 0.777, 0.252)
La (0.748, 0.223, 0.748)
La (0.748, 0.748, 0.223)
La (0.766, 0.766, 0.766)
La (0.777, 0.252, 0.252)
Mg (0.500, 0.500, 0.500)
Ge (0.000, 0.000, 0.500)
Ge (0.000, 0.500, 0.000)
Ge (0.500, 0.000, 0.000)
I (0.000, 0.000, 0.000)
I (0.000, 0.500, 0.500)
I (0.500, 0.000, 0.500)
I (0.500, 0.500, 0.000)


# 2
Computed, not measured: an optimized crystal structure of InMoRu2Pt at the PBE level of DFT.

## Properties
mass density = 9.39 g/cm3
raw total energy = -5.2759 eV per atom
calculated formation energy = 2.3565 eV/atom
space-group type = P4/mmm, No. 123
total moment = 1.7 μB per formula unit

Lattice parameters (Å, degrees): 4.715 4.715 4.839 90.00 90.00 90.00
Fractional coordinates of all 5 atoms:
In (0.000, 0.000, 0.000)
Mo (0.000, 0.000, 0.500)
Ru (0.000, 0.500, 0.000)
Ru (0.500, 0.000, 0.000)
Pt (0.500, 0.500, 0.500)


Among the records above, which one has the lowest mass density?
La8MgGe3I4